Below is crystalline KFeNO2 at its relaxed geometry, with properties calculated at the PBE with a Hubbard U level.

abc: 3.9499 3.9499 4.1139
angles: 90.00 90.00 90.00
Site moments in Bohr magnetons follow the coordinates.
Fractional positions:
K (0.5000, 0.5000, 0.5000)  0.02
Fe (0.0000, 0.0000, 0.0000)  3.89
O (0.0000, 0.5000, 0.0000)  0.36
O (0.5000, 0.0000, 0.0000)  0.36
N (0.0000, 0.0000, 0.5000)  1.03

Properties
The mass density is 3.647 g/cm³. As for the total energy: -5.1944 eV per atom. Its space group is P4/mmm, No. 123. Its crystal system is tetragonal.